1.
## BW3Se (PBE)

Data for an optimized crystal structure of BW3Se.

abc: 4.2601 4.2601 4.2601
angles: 90.00 90.00 90.00
With the nearest neighbours (Å) after each atom.
Sites, in units of the cell vectors:
1 B 0.0000 0.0000 0.0000  6 W 2.13
2 W 0.0000 0.0000 0.5000  2 B 2.13
3 W 0.0000 0.5000 0.0000  2 B 2.13
4 W 0.5000 0.0000 0.0000  2 B 2.13
5 Se 0.5000 0.5000 0.5000  12 W 3.01

Density of states at the Fermi level in states/eV/atom: 1.1430
Offset from the most stable computed form in meV per atom: 0
Formation energy from raw total energies in eV/atom: 0.81

=====

2.
## BeAgAu2 (PBE)

Data for an optimized crystal structure of BeAgAu2.

abc: 4.9798 4.9798 4.9798
angles: 133.31 133.31 68.17
With the nearest neighbours (Å) after each atom.
Sites, in units of the cell vectors:
1 Be 0.0000 0.0000 0.0000  8 Au 2.79-2.85, 4 Ag 2.85
2 Ag 0.2500 0.7500 0.5000  8 Au 2.79-2.85, 4 Be 2.85
3 Au 0.5000 0.5000 0.0000  4 Be 2.79, 4 Au 2.85, 4 Ag 2.85
4 Au 0.7500 0.2500 0.5000  4 Ag 2.79, 4 Au 2.85, 4 Be 2.85

Density of states at the Fermi level in states/eV/atom: 0.3450
Calculated formation energy in meV/atom: 103

=====

3.
## Li3As2Pt (PBE)

Data for an optimized crystal structure of Li3As2Pt.

abc: 5.0461 5.1273 7.2401
angles: 90.00 91.33 90.00
With the nearest neighbours (Å) after each atom.
Sites, in units of the cell vectors:
1 Li 0.0996 0.2500 0.4486  3 As 2.56-2.58, 2 Li 2.86
2 Li 0.3599 0.5016 0.8122  2 Li 2.55-2.58, 4 As 2.67-2.81, 2 Pt 2.82-2.85
3 Li 0.3599 0.9984 0.8122  2 Li 2.55-2.58, 4 As 2.67-2.81, 2 Pt 2.82-2.85
4 Li 0.6401 0.0016 0.1878  2 Li 2.55-2.58, 4 As 2.67-2.81, 2 Pt 2.82-2.85
5 Li 0.6401 0.4984 0.1878  2 Li 2.55-2.58, 4 As 2.67-2.81, 2 Pt 2.82-2.85
6 Li 0.9004 0.7500 0.5514  3 As 2.56-2.58, 2 Li 2.86
7 As 0.1564 0.2500 0.0988  3 Pt 2.51-2.64, 3 Li 2.56-2.67
8 As 0.3988 0.7500 0.4822  1 Pt 2.50, 4 Li 2.57-2.72, 2 As 2.77
9 As 0.6012 0.2500 0.5178  1 Pt 2.50, 4 Li 2.57-2.72, 2 As 2.77
10 As 0.8436 0.7500 0.9012  3 Pt 2.51-2.64, 3 Li 2.56-2.67
11 Pt 0.1360 0.7500 0.1860  4 As 2.50-2.64
12 Pt 0.8640 0.2500 0.8140  4 As 2.50-2.64

Density of states at the Fermi level in states/eV/atom: 0.1744
Offset from the most stable computed form in meV per atom: 0
Calculated formation energy in meV/atom: -620

=====

4.
## NiRu2Pt (PBE)

Data for an optimized crystal structure of NiRu2Pt.

abc: 2.7023 3.8155 5.3217
angles: 90.00 90.00 90.00
With the nearest neighbours (Å) after each atom.
Sites, in units of the cell vectors:
1 Ni 0.0000 0.0000 0.0000  8 Ru 2.65, 2 Pt 2.66, 2 Ni 2.70
2 Ru 0.5000 0.5000 0.2326  3 Ru 2.48-2.70, 4 Ni 2.65, 4 Pt 2.74
3 Ru 0.5000 0.5000 0.7674  3 Ru 2.48-2.70, 4 Ni 2.65, 4 Pt 2.74
4 Pt 0.0000 0.0000 0.5000  2 Ni 2.66, 2 Pt 2.70, 8 Ru 2.74

Density of states at the Fermi level in states/eV/atom: 1.7360
Offset from the most stable computed form in meV per atom: 108
Calculated formation energy in meV/atom: 110

=====

5.
## Li3AsCl (PBE)

Data for an optimized crystal structure of Li3AsCl.

abc: 4.8878 4.8878 4.8878
angles: 90.00 90.00 90.00
With the nearest neighbours (Å) after each atom.
Sites, in units of the cell vectors:
1 Li 0.0000 0.0000 0.5000  2 As 2.44
2 Li 0.0000 0.5000 0.0000  2 As 2.44
3 Li 0.5000 0.0000 0.0000  2 As 2.44
4 As 0.0000 0.0000 0.0000  6 Li 2.44
5 Cl 0.5000 0.5000 0.5000  12 Li 3.46

Density of states at the Fermi level in states/eV/atom: 1.3423
Offset from the most stable computed form in meV per atom: 183
Formation energy from raw total energies in eV/atom: -0.59

=====

6.
## ZnRh2Br (PBE)

Data for an optimized crystal structure of ZnRh2Br.

abc: 4.4668 4.4668 4.4668
angles: 60.00 60.00 60.00
With the nearest neighbours (Å) after each atom.
Sites, in units of the cell vectors:
1 Zn 0.0000 0.0000 0.0000  8 Rh 2.74
2 Rh 0.2500 0.2500 0.2500  4 Br 2.74, 4 Zn 2.74
3 Rh 0.7500 0.7500 0.7500  4 Br 2.74, 4 Zn 2.74
4 Br 0.5000 0.5000 0.5000  8 Rh 2.74

Density of states at the Fermi level in states/eV/atom: 1.3008
Offset from the most stable computed form in meV per atom: 312
Formation energy from raw total energies in eV/atom: 0.42

=====

7.
## Os4PbCl (PBE)

Data for an optimized crystal structure of Os4PbCl.

abc: 5.3635 5.3635 5.3635
angles: 60.00 60.00 60.00
With the nearest neighbours (Å) after each atom.
Sites, in units of the cell vectors:
1 Os 0.1252 0.1252 0.1252  6 Os 2.68-2.69
2 Os 0.1252 0.1252 0.6245  6 Os 2.68-2.69
3 Os 0.1252 0.6245 0.1252  6 Os 2.68-2.69
4 Os 0.6245 0.1252 0.1252  6 Os 2.68-2.69
5 Pb 0.7500 0.7500 0.7500  12 Os 3.15, 4 Cl 3.28
6 Cl 0.5000 0.5000 0.5000  12 Os 3.14, 4 Pb 3.28

Density of states at the Fermi level in states/eV/atom: 1.9999
Formation energy from raw total energies in eV/atom: 1.37

=====

8.
## NaNb2TePt (PBE)

Data for an optimized crystal structure of NaNb2TePt.

abc: 4.7273 4.7273 4.8733
angles: 90.00 90.00 90.00
With the nearest neighbours (Å) after each atom.
Sites, in units of the cell vectors:
1 Na 0.0000 0.0000 0.0000  4 Nb 2.36, 2 Te 2.44
2 Nb 0.0000 0.5000 0.0000  2 Na 2.36
3 Nb 0.5000 0.0000 0.0000  2 Na 2.36
4 Te 0.0000 0.0000 0.5000  2 Na 2.44
5 Pt 0.5000 0.5000 0.5000  4 Te 3.34, 8 Nb 3.39

Density of states at the Fermi level in states/eV/atom: 1.0925
Formation energy from raw total energies in eV/atom: 1.88

=====

9.
## ZrMn4Se (PBE)

Data for an optimized crystal structure of ZrMn4Se.

abc: 4.9024 4.9024 4.9024
angles: 60.00 60.00 60.00
With the nearest neighbours (Å) after each atom.
Sites, in units of the cell vectors:
1 Zr 0.0000 0.0000 0.0000  12 Mn 2.87, 4 Se 3.00
2 Mn 0.1257 0.6248 0.6248  6 Mn 2.45-2.46
3 Mn 0.6248 0.1257 0.6248  6 Mn 2.45-2.46
4 Mn 0.6248 0.6248 0.1257  6 Mn 2.45-2.46
5 Mn 0.6248 0.6248 0.6248  6 Mn 2.45-2.46
6 Se 0.2500 0.2500 0.2500  12 Mn 2.87, 4 Zr 3.00

Density of states at the Fermi level in states/eV/atom: 1.5069
Formation energy from raw total energies in eV/atom: 0.17

=====

10.
## MgNpTl2Se4 (PBE)

Data for an optimized crystal structure of MgNpTl2Se4.

abc: 7.0120 4.1491 8.1142
angles: 90.00 107.27 90.00
With the nearest neighbours (Å) after each atom.
Sites, in units of the cell vectors:
1 Mg 0.0000 0.0000 0.0000  6 Se 2.81-2.83
2 Np 0.5000 0.5000 0.0000  6 Se 2.80-2.85
3 Tl 0.0000 0.5000 0.5000  6 Se 3.30-3.33
4 Tl 0.5000 0.0000 0.5000  6 Se 3.29-3.35
5 Se 0.2298 0.5000 0.1945  1 Np 2.80, 2 Mg 2.81
6 Se 0.2658 0.0000 0.7969  1 Mg 2.83, 2 Np 2.85
7 Se 0.7342 0.0000 0.2031  1 Mg 2.83, 2 Np 2.85
8 Se 0.7702 0.5000 0.8055  1 Np 2.80, 2 Mg 2.81

Density of states at the Fermi level in states/eV/atom: 1.1080
Formation energy from raw total energies in eV/atom: -0.87

=====

11.
## Al2TlOs (PBE)

Data for an optimized crystal structure of Al2TlOs.

abc: 7.0309 7.0309 7.0309
angles: 155.92 145.52 42.49
With the nearest neighbours (Å) after each atom.
Sites, in units of the cell vectors:
1 Al 0.0000 0.0000 0.0000  2 Os 2.51
2 Al 0.6633 0.1633 0.5000  4 Os 2.55
3 Tl 0.3573 0.3573 0.0000  2 Tl 2.93, 2 Os 3.02, 4 Al 3.16
4 Os 0.1555 0.6555 0.5000  6 Al 2.51-2.55

Density of states at the Fermi level in states/eV/atom: 0.5680
Offset from the most stable computed form in meV per atom: 164
Calculated formation energy in meV/atom: 79

=====

12.
## Pr3Ga2Cu7 (PBE)

Data for an optimized crystal structure of Pr3Ga2Cu7.

abc: 13.4843 13.4843 13.4843
angles: 162.08 162.08 25.45
With the nearest neighbours (Å) after each atom.
Sites, in units of the cell vectors:
1 Pr 0.0000 0.0000 0.0000  12 Cu 2.91-2.97
2 Pr 0.1699 0.1699 0.0000  9 Cu 2.90-3.25, 4 Ga 3.21
3 Pr 0.8301 0.8301 0.0000  9 Cu 2.90-3.25, 4 Ga 3.21
4 Ga 0.3763 0.3763 0.0000  5 Cu 2.44-2.53
5 Ga 0.6237 0.6237 0.0000  5 Cu 2.44-2.53
6 Cu 0.0763 0.5763 0.5000  2 Ga 2.44
7 Cu 0.2802 0.2802 0.0000  1 Ga 2.53
8 Cu 0.4237 0.9237 0.5000  2 Ga 2.44
9 Cu 0.5000 0.5000 0.0000  8 Cu 2.91, 4 Pr 2.97, 2 Ga 3.25
10 Cu 0.5763 0.0763 0.5000  2 Ga 2.44
11 Cu 0.7198 0.7198 0.0000  1 Ga 2.53
12 Cu 0.9237 0.4237 0.5000  2 Ga 2.44

Density of states at the Fermi level in states/eV/atom: 0.8638
Calculated formation energy in meV/atom: -69

=====

> Among the records above, which one has the lowest density of states at the Fermi level?

Li3As2Pt